1.
VASP calculation (PBE) on ScTiFe after structural relaxation.

formation energy: 0.088 eV/atom
V: 216 Å³/cell
magnetization: 0.00 Bohr magnetons per cell
SG: Pnma (62)

The structure in POSCAR format:
```
ScTiFe
1.0
9.3121 0.0000 0.0000
0.0000 3.8247 0.0000
0.0000 0.0000 6.0612
Sc Ti Fe
4 4 4
direct
0.1355 0.2500 0.0160
0.3645 0.7500 0.5160
0.6355 0.2500 0.4840
0.8645 0.7500 0.9840
0.1130 0.2500 0.5104
0.3870 0.7500 0.0104
0.6130 0.2500 0.9896
0.8870 0.7500 0.4896
0.1170 0.7500 0.7312
0.3830 0.2500 0.2312
0.6170 0.7500 0.7688
0.8830 0.2500 0.2688
```

2.
VASP calculation (PBE) on Li8SiO6 after structural relaxation.

V: 279 Å³/cell
formation energy from raw total energies: -2153 meV/atom
magnetization: 0.00 Bohr magnetons per cell
SG: P6_3cm (185)

The structure in POSCAR format:
```
Li8SiO6
1.0
5.4757 0.0000 0.0000
-2.7378 4.7421 0.0000
0.0000 0.0000 10.7479
Li Si O
16 2 12
direct
0.0000 0.3081 0.0000
0.0000 0.3928 0.3592
0.0000 0.6072 0.8592
0.0000 0.6919 0.5000
0.3081 0.0000 0.0000
0.3081 0.3081 0.5000
0.3333 0.6667 0.1421
0.3333 0.6667 0.6421
0.3928 0.0000 0.3592
0.3928 0.3928 0.8592
0.6072 0.0000 0.8592
0.6072 0.6072 0.3592
0.6667 0.3333 0.1421
0.6667 0.3333 0.6421
0.6919 0.0000 0.5000
0.6919 0.6919 0.0000
0.0000 0.0000 0.2294
0.0000 0.0000 0.7294
0.0000 0.0000 0.3863
0.0000 0.0000 0.8863
0.0000 0.2872 0.1831
0.0000 0.7128 0.6831
0.2872 0.0000 0.1831
0.2872 0.2872 0.6831
0.3333 0.6667 0.4498
0.3333 0.6667 0.9498
0.6667 0.3333 0.4498
0.6667 0.3333 0.9498
0.7128 0.0000 0.6831
0.7128 0.7128 0.1831
```

3.
VASP calculation (PBE) on InOs3F after structural relaxation.

ΔE to the lowest computed polymorph: 0 meV per atom
V: 79 Å³/cell
formation energy from raw total energies: 1556 meV/atom
magnetization: 0.00 Bohr magnetons per cell
SG: Pm-3m (221)

The structure in POSCAR format:
```
InOs3F
1.0
4.2876 0.0000 0.0000
0.0000 4.2876 0.0000
0.0000 0.0000 4.2876
In Os F
1 3 1
direct
0.0000 0.0000 0.0000
0.0000 0.5000 0.5000
0.5000 0.0000 0.5000
0.5000 0.5000 0.0000
0.5000 0.5000 0.5000
```

4.
VASP calculation (PBE) on RbIr3Cl after structural relaxation.

ΔE to the lowest computed polymorph: 0 meV per atom
V: 99 Å³/cell
formation energy from raw total energies: 1646 meV/atom
magnetization: 0.97 Bohr magnetons per cell
SG: Pm-3m (221)

The structure in POSCAR format:
```
RbIr3Cl
1.0
4.6324 0.0000 0.0000
0.0000 4.6324 0.0000
0.0000 0.0000 4.6324
Rb Ir Cl
1 3 1
direct
0.0000 0.0000 0.0000
0.0000 0.5000 0.5000
0.5000 0.0000 0.5000
0.5000 0.5000 0.0000
0.5000 0.5000 0.5000
```

5.
VASP calculation (PBE) on Na3Ho2ScSe6 after structural relaxation.

V: 301 Å³/cell
formation energy from raw total energies: -1662 meV/atom
magnetization: 0.00 Bohr magnetons per cell
SG: C2/m (12)

The structure in POSCAR format:
```
Na3Ho2ScSe6
1.0
3.5221 -6.1028 0.0000
3.5221 6.1028 0.0000
-2.3521 0.0000 6.9909
Na Ho Sc Se
3 2 1 6
direct
0.0000 0.0000 0.0000
0.3316 0.6684 0.0000
0.6684 0.3316 0.0000
0.1664 0.8336 0.5000
0.8336 0.1664 0.5000
0.5000 0.5000 0.5000
0.1022 0.4250 0.2748
0.2527 0.2527 0.7246
0.4250 0.1022 0.2748
0.5750 0.8978 0.7252
0.7473 0.7473 0.2754
0.8978 0.5750 0.7252
```

6.
VASP calculation (PBE) on BaCuAs after structural relaxation.

formation energy: -0.646 eV/atom
V: 165 Å³/cell
magnetization: 0.00 Bohr magnetons per cell
SG: C2/m (12)

The structure in POSCAR format:
```
BaCuAs
1.0
5.0148 -4.2315 0.0000
5.0148 4.2315 0.0000
-1.8330 0.0000 3.8860
Ba Cu As
2 2 2
direct
0.2246 0.2246 0.2233
0.7754 0.7754 0.7767
0.3433 0.6567 0.0000
0.6567 0.3433 0.0000
0.2313 0.7687 0.5000
0.7687 0.2313 0.5000
```

7.
VASP calculation (PBE) on NaCu2BrF2 after structural relaxation.

V: 211 Å³/cell
formation energy from raw total energies: -1215 meV/atom
magnetization: 0.00 Bohr magnetons per cell
SG: P2_1/m (11)

The structure in POSCAR format:
```
NaCu2BrF2
1.0
5.9809 0.0000 0.0000
0.0000 4.9070 0.0000
-2.1488 0.0000 7.1983
Na Cu Br F
2 4 2 4
direct
0.2400 0.2500 0.4193
0.7600 0.7500 0.5807
0.3584 0.5025 0.8478
0.3584 0.9975 0.8478
0.6416 0.0025 0.1522
0.6416 0.4975 0.1522
0.2367 0.7500 0.0875
0.7633 0.2500 0.9125
0.1196 0.2500 0.6688
0.4058 0.7500 0.6200
0.5942 0.2500 0.3800
0.8804 0.7500 0.3312
```

8.
VASP calculation (PBE) on La3Tc4 after structural relaxation.

formation energy: 1.004 eV/atom
ΔE to the lowest computed polymorph: 848 meV per atom
V: 166 Å³/cell
magnetization: 0.03 Bohr magnetons per cell
SG: P6/mmm (191)

The structure in POSCAR format:
```
La3Tc4
1.0
6.4204 0.0000 0.0000
-3.2102 5.5602 0.0000
0.0000 0.0000 4.6495
La Tc
3 4
direct
0.0000 0.5000 0.0000
0.5000 0.0000 0.0000
0.5000 0.5000 0.0000
0.0000 0.0000 0.2372
0.0000 0.0000 0.7628
0.3333 0.6667 0.5000
0.6667 0.3333 0.5000
```

9.
VASP calculation (PBE) on Pr12Ho7Sc after structural relaxation.

formation energy: 0.191 eV/atom
ΔE to the lowest computed polymorph: 44 meV per atom
V: 698 Å³/cell
magnetization: 0.00 Bohr magnetons per cell
SG: R-3 (148)

The structure in POSCAR format:
```
Pr12Ho7Sc
1.0
9.8306 5.6757 2.0836
-9.8306 5.6757 2.0836
0.0000 -11.3514 2.0836
Pr Ho Sc
12 7 1
direct
0.0012 0.4132 0.5889
0.0774 0.0782 0.4292
0.0782 0.4292 0.0774
0.4111 0.9988 0.5868
0.4132 0.5889 0.0012
0.4292 0.0774 0.0782
0.5708 0.9226 0.9218
0.5868 0.4111 0.9988
0.5889 0.0012 0.4132
0.9218 0.5708 0.9226
0.9226 0.9218 0.5708
0.9988 0.5868 0.4111
0.0000 0.0000 0.0000
0.1423 0.3829 0.3822
0.3822 0.1423 0.3829
0.3829 0.3822 0.1423
0.6171 0.6178 0.8577
0.6178 0.8577 0.6171
0.8577 0.6171 0.6178
0.5000 0.5000 0.5000
```

10.
VASP calculation (PBE) on Zn2MoAs after structural relaxation.

formation energy: 0.114 eV/atom
V: 64 Å³/cell
magnetization: 0.00 Bohr magnetons per cell
SG: Pm (6)

The structure in POSCAR format:
```
Zn2MoAs
1.0
2.7018 0.0000 0.0000
0.0000 4.5993 0.0000
-0.8654 0.0000 5.1452
Zn Mo As
2 1 1
direct
0.0000 0.0000 0.0000
0.0284 0.5000 0.2481
0.6159 0.0000 0.4734
0.7752 0.5000 0.7169
```

11.
VASP calculation (PBE) on Tb7NdDy4 after structural relaxation.

formation energy: -0.001 eV/atom
ΔE to the lowest computed polymorph: 0 meV per atom
V: 385 Å³/cell
magnetization: 0.00 Bohr magnetons per cell
SG: P-1 (2)

The structure in POSCAR format:
```
Tb7NdDy4
1.0
6.2244 0.0000 0.0000
0.0092 7.1928 0.0000
2.1078 -0.0008 8.6103
Tb Nd Dy
7 1 4
direct
0.0000 0.0000 0.0000
0.2216 0.5003 0.3342
0.2793 0.2487 0.6652
0.5001 0.2489 0.0001
0.4999 0.7511 0.9999
0.7207 0.7513 0.3348
0.7784 0.4997 0.6658
0.0000 0.5000 0.0000
0.2205 0.0002 0.3342
0.2792 0.7509 0.6654
0.7208 0.2491 0.3346
0.7795 0.9998 0.6658
```

12.
VASP calculation (PBE) on La8Ge3SbTe4 after structural relaxation.

V: 532 Å³/cell
formation energy from raw total energies: -1339 meV/atom
magnetization: 0.00 Bohr magnetons per cell
SG: R-3m (166)

The structure in POSCAR format:
```
La8Ge3SbTe4
1.0
4.5315 2.6163 7.4824
-4.5315 2.6163 7.4824
0.0000 -5.2325 7.4824
La Ge Sb Te
8 3 1 4
direct
0.2341 0.7477 0.7477
0.2418 0.2418 0.2418
0.2523 0.2523 0.7659
0.2523 0.7659 0.2523
0.7477 0.2341 0.7477
0.7477 0.7477 0.2341
0.7582 0.7582 0.7582
0.7659 0.2523 0.2523
0.0000 0.0000 0.5000
0.0000 0.5000 0.0000
0.5000 0.0000 0.0000
0.5000 0.5000 0.5000
0.0000 0.0000 0.0000
0.0000 0.5000 0.5000
0.5000 0.0000 0.5000
0.5000 0.5000 0.0000
```